This record from Alexandria describes a relaxed structure of LaAs3O. The functional is PBE.

Calculated values
DOS(E_F), states/eV/f.u.: 31.7
Offset from the most stable computed form, meV/atom: 1881.9
M_tot, Bohr magnetons per cell: 0.00

a = 5.7273 Å, b = 5.7273 Å, c = 5.7273 Å
α = 90.00°, β = 90.00°, γ = 90.00°
Last column: nearest neighbours and their distance in Å.
Space group Pm-3m (No. 221)
Asymmetric unit:
La 0.0000 0.0000 0.0000 [1 per cell]  6 As 2.86
As 0.0000 0.0000 0.5000 [3 per cell]  2 La 2.86
O 0.5000 0.5000 0.5000 [1 per cell]  12 As 4.05



This record from Alexandria describes a relaxed structure of La3AsO. The functional is PBE.

Calculated values
DOS(E_F), states/eV/f.u.: 5.0
Offset from the most stable computed form, meV/atom: 4.2
M_tot, Bohr magnetons per cell: 2.14

a = 17.2328 Å, b = 4.1345 Å, c = 8.7184 Å
α = 90.00°, β = 102.38°, γ = 90.00°
Last column: nearest neighbours and their distance in Å.
Space group C2/m (No. 12)
Asymmetric unit:
La 0.0171 0.0000 0.2252 [4 per cell]  2 As 3.04
La 0.1604 0.5000 0.0044 [4 per cell]  3 O 2.41-2.45
La 0.1742 0.0000 0.6113 [4 per cell]  1 O 2.40
As 0.1453 0.5000 0.3464 [4 per cell]  6 La 3.04-3.06
O 0.1953 0.0000 0.8930 [4 per cell]  4 La 2.40-2.45



This record from Alexandria describes a relaxed structure of La12As3O5. The functional is PBE.

Calculated values
DFT total energy, eV per cell: -1067.290
DOS(E_F), states/eV/f.u.: 19.6
M_tot, Bohr magnetons per cell: 24.22

a = 16.1440 Å, b = 16.1440 Å, c = 16.1440 Å
α = 90.00°, β = 90.00°, γ = 90.00°
Last column: nearest neighbours and their distance in Å.
Space group Ia-3d (No. 230)
Asymmetric unit:
La 0.0351 0.0539 0.6500 [96 per cell]  1 O 2.34
As 0.0000 0.2500 0.1250 [24 per cell]  8 La 3.17-3.24
O 0.0000 0.0000 0.0000 [16 per cell]  6 La 2.63
O 0.0000 0.2500 0.3750 [24 per cell]  4 La 2.34



This record from Alexandria describes a relaxed structure of La3As2O2. The functional is PBE.

Calculated values
DFT total energy, eV per cell: -99.372
DOS(E_F), states/eV/f.u.: 3.6
M_tot, Bohr magnetons per cell: 0.00

a = 12.7863 Å, b = 4.1799 Å, c = 7.0622 Å
α = 90.00°, β = 109.90°, γ = 90.00°
Last column: nearest neighbours and their distance in Å.
Space group C2/m (No. 12)
Asymmetric unit:
La 0.0000 0.0000 0.0000 [2 per cell]  2 O 2.41
La 0.1885 0.5000 0.7657 [4 per cell]  3 O 2.37-2.46
As 0.1154 0.5000 0.3020 [4 per cell]  3 La 2.99-3.08
O 0.1632 0.0000 0.9034 [4 per cell]  4 La 2.37-2.46



This record from Alexandria describes a relaxed structure of LaAsO. The functional is PBE.

Calculated values
DFT total energy, eV per cell: -42.956
M_tot, Bohr magnetons per cell: 0.00

a = 4.1830 Å, b = 4.0216 Å, c = 7.7056 Å
α = 90.00°, β = 95.15°, γ = 90.00°
Last column: nearest neighbours and their distance in Å.
Space group P2_1/m (No. 11)
Asymmetric unit:
La 0.2265 0.2500 0.3425 [2 per cell]  4 O 2.37-2.40
As 0.3231 0.2500 0.9479 [2 per cell]  2 As 2.58
O 0.2504 0.7500 0.5049 [2 per cell]  4 La 2.37-2.40



This record from Alexandria describes a relaxed structure of LaAs2O. The functional is PBE.

Calculated values
DFT total energy, eV per cell: -86.991
DOS(E_F), states/eV/f.u.: 1.5
M_tot, Bohr magnetons per cell: 0.00

a = 5.1874 Å, b = 5.1874 Å, c = 13.4676 Å
α = 90.00°, β = 90.00°, γ = 90.00°
Last column: nearest neighbours and their distance in Å.
Space group I4_1/amd (No. 141, origin choice 2)
Asymmetric unit:
La 0.0000 0.2500 0.3750 [4 per cell]  8 As 3.35, 4 O 3.67
As 0.0000 0.0000 0.0000 [8 per cell]  2 O 2.13
O 0.0000 0.2500 0.8750 [4 per cell]  4 As 2.13



This record from Alexandria describes a relaxed structure of La2AsO6. The functional is PBE.

Calculated values
DFT total energy, eV per cell: -129.449
DOS(E_F), states/eV/f.u.: 5.0
M_tot, Bohr magnetons per cell: 2.01

a = 5.1217 Å, b = 5.1217 Å, c = 10.3670 Å
α = 90.00°, β = 90.00°, γ = 90.00°
Last column: nearest neighbours and their distance in Å.
Space group P4_2/mnm (No. 136)
Asymmetric unit:
La 0.0000 0.0000 0.1669 [4 per cell]  6 O 2.37-2.47
As 0.0000 0.0000 0.5000 [2 per cell]  6 O 1.85-1.88
O 0.1760 0.1760 0.3669 [8 per cell]  1 As 1.88
O 0.2441 0.2441 0.0000 [4 per cell]  1 As 1.85



This record from Alexandria describes a relaxed structure of LaAsO3. The functional is PBE.

Calculated values
DFT total energy, eV per cell: -73.392
DOS(E_F), states/eV/f.u.: 0.0
M_tot, Bohr magnetons per cell: 0.00

a = 4.4532 Å, b = 5.3884 Å, c = 6.2816 Å
α = 90.00°, β = 105.87°, γ = 90.00°
Last column: nearest neighbours and their distance in Å.
Space group P2_1/m (No. 11)
Asymmetric unit:
La 0.1630 0.2500 0.3002 [2 per cell]  7 O 2.54-2.67
As 0.4227 0.2500 0.8569 [2 per cell]  3 O 1.79-1.81
O 0.1653 0.7500 0.1135 [2 per cell]  1 As 1.79
O 0.3077 0.0022 0.6574 [4 per cell]  1 As 1.81



This record from Alexandria describes a relaxed structure of La3As2O. The functional is PBE.

Calculated values
DOS(E_F), states/eV/f.u.: 2.0
Offset from the most stable computed form, meV/atom: 91.6
M_tot, Bohr magnetons per cell: 0.00

a = 13.0482 Å, b = 6.0881 Å, c = 8.2965 Å
α = 90.00°, β = 108.49°, γ = 90.00°
Last column: nearest neighbours and their distance in Å.
Space group C2/c (No. 15)
Asymmetric unit:
La 0.0000 0.0519 0.2500 [4 per cell]  1 O 2.34
La 0.1512 0.4989 0.5759 [8 per cell]  2 O 2.82, 4 As 3.00-3.06
As 0.1739 0.0007 0.0868 [8 per cell]  6 La 3.00-3.06
O 0.0000 0.4367 0.2500 [4 per cell]  1 La 2.34



This record from Alexandria describes a relaxed structure of LaAs3O. The functional is PBE.

Calculated values
DOS(E_F), states/eV/f.u.: 2.2
Offset from the most stable computed form, meV/atom: 0.0
M_tot, Bohr magnetons per cell: 0.00

a = 4.5748 Å, b = 4.5748 Å, c = 4.5748 Å
α = 90.00°, β = 90.00°, γ = 90.00°
Last column: nearest neighbours and their distance in Å.
Space group Pm-3m (No. 221)
Asymmetric unit:
La 0.0000 0.0000 0.0000 [1 per cell]  12 As 3.23
As 0.0000 0.5000 0.5000 [3 per cell]  2 O 2.29
O 0.5000 0.5000 0.5000 [1 per cell]  6 As 2.29



This record from Alexandria describes a relaxed structure of LaAsPO2. The functional is PBE.

Calculated values
DOS(E_F), states/eV/f.u.: 0.8
Offset from the most stable computed form, meV/atom: 0.0
M_tot, Bohr magnetons per cell: 0.00

a = 4.1471 Å, b = 4.1471 Å, c = 4.6587 Å
α = 90.00°, β = 90.00°, γ = 90.00°
Last column: nearest neighbours and their distance in Å.
Space group P4/mmm (No. 123)
Asymmetric unit:
La 0.0000 0.0000 0.0000 [1 per cell]  4 P 2.93, 8 O 3.12
As 0.5000 0.5000 0.5000 [1 per cell]  4 O 2.07
P 0.5000 0.5000 0.0000 [1 per cell]  2 As 2.33
O 0.0000 0.5000 0.5000 [2 per cell]  2 As 2.07



This record from Alexandria describes a relaxed structure of LaAsP2O. The functional is PBE.

Calculated values
DOS(E_F), states/eV/f.u.: 3.4
Offset from the most stable computed form, meV/atom: 785.6
M_tot, Bohr magnetons per cell: 0.70

a = 5.6983 Å, b = 5.6983 Å, c = 4.2059 Å
α = 90.00°, β = 90.00°, γ = 90.00°
Last column: nearest neighbours and their distance in Å.
Space group P4/mmm (No. 123)
Asymmetric unit:
La 0.0000 0.0000 0.0000 [1 per cell]  2 O 2.10
As 0.5000 0.5000 0.5000 [1 per cell]  8 P 3.54
P 0.0000 0.5000 0.0000 [2 per cell]  2 La 2.85
O 0.0000 0.0000 0.5000 [1 per cell]  2 La 2.10